# 1
DFT (PBE) results for an optimized crystal structure of Rb2ScNb.

Properties
- DFT formation energy (meV per atom) = 1686.7
- relative energy among the computed polymorphs (meV/atom) = 292

a = 8.664 Å, b = 8.664 Å, c = 8.664 Å
α = 90.00°, β = 90.00°, γ = 90.00°
Space group Fm-3m (No. 225)
Unique sites:
Rb: 0.250 0.250 0.250 [8 per cell]
Sc: 0.000 0.000 0.000 [4 per cell]
Nb: 0.000 0.000 0.500 [4 per cell]

=====

# 2
DFT (PBE) results for an optimized crystal structure of Rb2Sc2Nb.

Properties
- DFT formation energy (meV per atom) = 941.0
- relative energy among the computed polymorphs (meV/atom) = 0

a = 7.268 Å, b = 7.268 Å, c = 7.019 Å
α = 90.00°, β = 90.00°, γ = 90.00°
Space group P4/mbm (No. 127)
Unique sites:
Rb: 0.184 0.316 0.000 [4 per cell]
Sc: 0.190 0.690 0.500 [4 per cell]
Nb: 0.000 0.000 0.500 [2 per cell]

=====

# 3
DFT (PBE) results for an optimized crystal structure of Rb2ScNb.

Properties
- DFT formation energy (meV per atom) = 1394.8
- relative energy among the computed polymorphs (meV/atom) = 0

a = 13.333 Å, b = 13.333 Å, c = 5.054 Å
α = 90.00°, β = 90.00°, γ = 90.00°
Space group I-42d (No. 122)
Unique sites:
Rb: 0.100 0.250 0.125 [8 per cell]
Sc: 0.000 0.000 0.500 [4 per cell]
Nb: 0.000 0.000 0.000 [4 per cell]

=====

# 4
DFT (PBE) results for an optimized crystal structure of Rb3Sc3NbSe8.

Properties
- E_tot (eV per atom) = -5.40

a = 13.581 Å, b = 7.836 Å, c = 9.313 Å
α = 90.00°, β = 119.12°, γ = 90.00°
Space group C2/m (No. 12)
Unique sites:
Rb: 0.000 0.000 0.000 [2 per cell]
Rb: 0.250 0.250 0.000 [4 per cell]
Sc: 0.000 0.500 0.500 [2 per cell]
Sc: 0.250 0.250 0.500 [4 per cell]
Nb: 0.000 0.000 0.500 [2 per cell]
Se: 0.020 0.245 0.315 [8 per cell]
Se: 0.225 0.000 0.685 [4 per cell]
Se: 0.229 0.500 0.687 [4 per cell]

=====

# 5
DFT (PBE) results for an optimized crystal structure of RbSr2ScNb.

Properties
- DFT formation energy (meV per atom) = 692.9

a = 6.347 Å, b = 6.347 Å, c = 5.173 Å
α = 90.00°, β = 90.00°, γ = 90.00°
Space group P4/mmm (No. 123)
Unique sites:
Rb: 0.000 0.000 0.000 [1 per cell]
Sr: 0.000 0.500 0.500 [2 per cell]
Sc: 0.500 0.500 0.000 [1 per cell]
Nb: 0.500 0.500 0.500 [1 per cell]

=====

# 6
DFT (PBE) results for an optimized crystal structure of Rb2NbSe4.

Properties
- relative energy among the computed polymorphs (meV/atom) = 115

a = 5.174 Å, b = 5.174 Å, c = 17.225 Å
α = 90.00°, β = 90.00°, γ = 90.00°
Space group I4/mmm (No. 139)
Unique sites:
Rb: 0.000 0.000 0.147 [4 per cell]
Nb: 0.000 0.000 0.500 [2 per cell]
Se: 0.000 0.000 0.352 [4 per cell]
Se: 0.000 0.500 0.000 [4 per cell]

=====

# 7
DFT (PBE) results for an optimized crystal structure of Rb2Nb2Se5.

Properties
- E_tot (eV per atom) = -5.24

a = 15.130 Å, b = 4.993 Å, c = 8.532 Å
α = 90.00°, β = 99.92°, γ = 90.00°
Space group C2/m (No. 12)
Unique sites:
Rb: 0.072 0.000 0.308 [4 per cell]
Nb: 0.144 0.500 0.900 [4 per cell]
Se: 0.000 0.500 0.000 [2 per cell]
Se: 0.118 0.500 0.618 [4 per cell]
Se: 0.184 0.000 0.979 [4 per cell]

=====

# 8
DFT (PBE) results for an optimized crystal structure of Rb2Nb4Se7.

Properties
- E_tot (eV per atom) = -5.73

a = 6.3910 Å, b = 6.3910 Å, c = 9.2855 Å
α = 90.00°, β = 90.00°, γ = 120.00°
Space group P-31m (No. 162)
Unique sites:
Rb: 0.3333 0.6667 0.0000 [2 per cell]
Nb: 0.0000 0.0000 0.3604 [2 per cell]
Nb: 0.3333 0.6667 0.5000 [2 per cell]
Se: 0.0000 0.0000 0.0000 [1 per cell]
Se: 0.0000 0.3865 0.3064 [6 per cell]

=====

# 9
DFT (PBE) results for an optimized crystal structure of Rb2NbSe6.

Properties
- E_tot (eV per atom) = -4.26

a = 14.266 Å, b = 8.739 Å, c = 4.664 Å
α = 90.00°, β = 93.80°, γ = 90.00°
Space group C2/m (No. 12)
Unique sites:
Rb: 0.192 0.000 0.439 [4 per cell]
Nb: 0.000 0.500 0.000 [2 per cell]
Se: 0.000 0.313 0.500 [4 per cell]
Se: 0.130 0.297 0.914 [8 per cell]

=====

# 10
DFT (PBE) results for an optimized crystal structure of Rb3NbSe.

Properties
- relative energy among the computed polymorphs (meV/atom) = 0

a = 6.590 Å, b = 6.590 Å, c = 6.590 Å
α = 90.00°, β = 90.00°, γ = 90.00°
Space group Pm-3m (No. 221)
Unique sites:
Rb: 0.000 0.000 0.500 [3 per cell]
Nb: 0.500 0.500 0.500 [1 per cell]
Se: 0.000 0.000 0.000 [1 per cell]

=====

# 11
DFT (PBE) results for an optimized crystal structure of Rb2NbSe4.

Properties
- relative energy among the computed polymorphs (meV/atom) = 0

a = 7.774 Å, b = 6.400 Å, c = 11.198 Å
α = 90.00°, β = 103.75°, γ = 90.00°
Space group P2_1/m (No. 11)
Unique sites:
Rb: 0.217 0.250 0.054 [2 per cell]
Rb: 0.271 0.250 0.539 [2 per cell]
Nb: 0.217 0.750 0.784 [2 per cell]
Se: 0.007 0.525 0.274 [4 per cell]
Se: 0.344 0.750 0.999 [2 per cell]
Se: 0.437 0.750 0.664 [2 per cell]

=====

# 12
DFT (PBE) results for an optimized crystal structure of RbNb3Se.

Properties
- relative energy among the computed polymorphs (meV/atom) = 0

a = 4.971 Å, b = 4.971 Å, c = 4.971 Å
α = 90.00°, β = 90.00°, γ = 90.00°
Space group Pm-3m (No. 221)
Unique sites:
Rb: 0.000 0.000 0.000 [1 per cell]
Nb: 0.000 0.500 0.500 [3 per cell]
Se: 0.500 0.500 0.500 [1 per cell]

=====

# 13
DFT (PBE) results for an optimized crystal structure of RbNbSe2.

Properties
- E_tot (eV per atom) = -5.34

a = 17.063 Å, b = 4.319 Å, c = 7.899 Å
α = 90.00°, β = 114.93°, γ = 90.00°
Space group C2/m (No. 12)
Unique sites:
Rb: 0.141 0.000 0.124 [4 per cell]
Nb: 0.086 0.500 0.573 [4 per cell]
Se: 0.001 0.500 0.228 [4 per cell]
Se: 0.172 0.000 0.683 [4 per cell]

=====

# 14
DFT (PBE) results for an optimized crystal structure of RbNb2Se4.

Properties
- E_tot (eV per atom) = -5.73

a = 4.148 Å, b = 12.611 Å, c = 13.054 Å
α = 90.00°, β = 90.00°, γ = 90.00°
Space group Cmcm (No. 63)
Unique sites:
Rb: 0.000 0.122 0.250 [4 per cell]
Nb: 0.000 0.386 0.059 [8 per cell]
Se: 0.000 0.000 0.000 [4 per cell]
Se: 0.000 0.252 0.598 [8 per cell]
Se: 0.000 0.421 0.250 [4 per cell]

=====

# 15
DFT (PBE) results for an optimized crystal structure of RbNb6Se8.

Properties
- E_tot (eV per atom) = -6.86

a = 10.2281 Å, b = 10.2281 Å, c = 3.5167 Å
α = 90.00°, β = 90.00°, γ = 120.00°
Space group P-3 (No. 147)
Unique sites:
Rb: 0.0000 0.0000 0.0000 [1 per cell]
Nb: 0.1055 0.6180 0.7515 [6 per cell]
Se: 0.0614 0.3439 0.7464 [6 per cell]
Se: 0.3333 0.6667 0.2509 [2 per cell]

=====

# 16
DFT (PBE) results for an optimized crystal structure of Rb3NbSe4.

Properties
- E_tot (eV per atom) = -4.46

a = 13.379 Å, b = 6.918 Å, c = 6.746 Å
α = 90.00°, β = 90.00°, γ = 90.00°
Space group Pmn2_1 (No. 31)
Unique sites:
Rb: 0.000 0.164 0.000 [2 per cell]
Rb: 0.249 0.726 0.035 [4 per cell]
Nb: 0.000 0.643 0.426 [2 per cell]
Se: 0.000 0.301 0.500 [2 per cell]
Se: 0.000 0.661 0.068 [2 per cell]
Se: 0.158 0.782 0.540 [4 per cell]

=====

# 17
DFT (PBE) results for an optimized crystal structure of RbNbSe4.

Properties
- relative energy among the computed polymorphs (meV/atom) = 31

a = 14.904 Å, b = 7.664 Å, c = 6.713 Å
α = 90.00°, β = 94.77°, γ = 90.00°
Space group C2/m (No. 12)
Unique sites:
Rb: 0.196 0.000 0.174 [4 per cell]
Nb: 0.005 0.500 0.267 [4 per cell]
Se: 0.000 0.259 0.000 [4 per cell]
Se: 0.088 0.280 0.517 [8 per cell]
Se: 0.194 0.500 0.299 [4 per cell]

=====

# 18
DFT (PBE) results for an optimized crystal structure of RbNbSe2.

Properties
- E_tot (eV per atom) = -5.18

a = 7.726 Å, b = 7.726 Å, c = 9.125 Å
α = 90.00°, β = 90.00°, γ = 90.00°
Space group I-42d (No. 122)
Unique sites:
Rb: 0.000 0.000 0.000 [4 per cell]
Nb: 0.000 0.000 0.500 [4 per cell]
Se: 0.154 0.250 0.625 [8 per cell]

=====

# 19
DFT (PBE) results for an optimized crystal structure of RbNb3Se.

Properties
- relative energy among the computed polymorphs (meV/atom) = 1587

a = 4.846 Å, b = 4.846 Å, c = 4.846 Å
α = 90.00°, β = 90.00°, γ = 90.00°
Space group Pm-3m (No. 221)
Unique sites:
Rb: 0.000 0.000 0.000 [1 per cell]
Nb: 0.000 0.000 0.500 [3 per cell]
Se: 0.500 0.500 0.500 [1 per cell]

=====

# 20
DFT (PBE) results for an optimized crystal structure of Rb3NbSe3.

Properties
- relative energy among the computed polymorphs (meV/atom) = 0

a = 9.137 Å, b = 14.177 Å, c = 8.426 Å
α = 90.00°, β = 105.88°, γ = 90.00°
Space group C2/m (No. 12)
Unique sites:
Rb: 0.000 0.176 0.000 [4 per cell]
Rb: 0.000 0.271 0.500 [4 per cell]
Rb: 0.109 0.500 0.863 [4 per cell]
Nb: 0.144 0.000 0.632 [4 per cell]
Se: 0.120 0.000 0.324 [4 per cell]
Se: 0.216 0.356 0.228 [8 per cell]